Here is an optimized crystal structure of Ba2ZnNCl from the Alexandria database. Energies are from PBE.

Cell lengths 6.202, 3.783, 6.202 Å; angles 90.00, 90.00, 90.00 degrees
Site moments in Bohr magnetons follow the coordinates.
Fractional coordinates of all 5 atoms:
N  0.000  0.500  0.000  -0.01
Zn  0.000  0.000  0.000  0.02
Cl  0.500  0.500  0.500  0.00
Ba  0.000  0.000  0.500  0.17
Ba  0.500  0.000  0.000  0.19

Summary:
Total magnetization in μB/f.u.: 0.9
DOS(E_F) in states/eV/f.u.: 3.58
Formation energy from raw total energies in eV per atom: -0.374
Space-group type: P4/mmm (123)
Total energy in eV/atom: -3.4323